PrEr4Tm3: optimized geometry, PBE.

Computed properties:
The total energy comes out at -4.528 eV per atom. The space group is No. 10. The energy relative to the elements is 0.03 eV/atom.

Lattice parameters (Å, degrees): 3.5332 7.8765 10.5588 81.36 70.44 63.29
Element x y z (fractional)
Tm: 0.0000 0.5001 0.5000
Tm: 0.5000 0.0001 0.4999
Tm: 0.9999 0.0002 0.0000
Er: 0.4939 0.7528 0.2529
Er: 0.0001 0.2476 0.2529
Er: 0.5060 0.2475 0.7470
Er: 0.9998 0.7527 0.7471
Pr: 0.4998 0.5002 0.0000